(1)
## AlH3Rh (PBE)

Data for an optimized crystal structure of AlH3Rh.

Summary:
VASP energy = -4.1087 eV/atom
total moment = 0.0 μB per cell

```
AlH3Rh
1.0
3.5118 0.0000 0.0000
0.0000 3.5118 0.0000
0.0000 0.0000 3.5118
H Rh Al
3 1 1
Direct
0.0000 0.5000 0.0000
0.0000 0.0000 0.5000
0.5000 0.0000 0.0000
0.0000 0.0000 0.0000
0.5000 0.5000 0.5000
```

(2)
## AlH8Rh6 (PBE)

Data for an optimized crystal structure of AlH8Rh6.

Summary:
VASP energy = -4.9751 eV/atom
total moment = 0.0 μB per cell

```
AlH8Rh6
1.0
5.4136 0.0000 0.0000
2.7068 4.6883 0.0000
2.7068 1.5628 4.9040
Al H Rh
1 8 6
Direct
0.0000 0.0000 0.0000
0.6248 0.1439 0.3684
0.8561 0.1371 0.6316
0.1371 0.3752 0.6316
0.6423 0.6423 0.0730
0.3577 0.3577 0.9270
0.8629 0.6248 0.3684
0.1439 0.8629 0.3684
0.3752 0.8561 0.6316
0.4744 0.0797 0.7430
0.9203 0.2971 0.2570
0.2971 0.5256 0.2570
0.7029 0.4744 0.7430
0.0797 0.7029 0.7430
0.5256 0.9203 0.2570
```

(3)
## AlH2RuRh (PBE)

Data for an optimized crystal structure of AlH2RuRh.

Summary:
VASP energy = -5.0634 eV/atom
total moment = 0.0 μB per cell

```
AlH2RuRh
1.0
3.4493 0.0000 0.0000
0.0000 5.1090 0.0000
0.0000 0.0000 3.4493
Ru Rh Al H
1 1 1 2
Direct
0.0000 0.5000 0.0000
0.0000 0.0000 0.0000
0.5000 0.5000 0.5000
0.0000 0.0000 0.5000
0.5000 0.0000 0.0000
```

(4)
## AlHRu2Rh (PBE)

Data for an optimized crystal structure of AlHRu2Rh.

Summary:
VASP energy = -6.7618 eV/atom
total moment = 0.0 μB per cell

```
AlHRu2Rh
1.0
3.8315 0.0000 0.0000
0.0000 3.8315 0.0000
0.0000 0.0000 4.0090
Ru Rh Al H
2 1 1 1
Direct
0.0000 0.5000 0.0000
0.5000 0.0000 0.0000
0.0000 0.0000 0.5000
0.5000 0.5000 0.5000
0.0000 0.0000 0.0000
```

(5)
## AlHRh2S (PBE)

Data for an optimized crystal structure of AlHRh2S.

Summary:
VASP energy = -5.1414 eV/atom
total moment = 0.0 μB per cell

```
AlHRh2S
1.0
-2.9555 -0.8321 -2.5202
2.1670 -2.6733 -1.6587
-1.4023 -2.7128 2.5402
H S Rh Al
1 1 2 1
Direct
0.0000 0.0000 0.0000
0.0000 0.5000 0.0000
0.0000 0.0000 0.5000
0.5000 0.0000 0.0000
0.5000 0.5000 0.5000
```

(6)
## AlTc2HRh (PBE)

Data for an optimized crystal structure of AlTc2HRh.

Summary:
VASP energy = -7.1570 eV/atom
total moment = 0.0 μB per cell

```
AlTc2HRh
1.0
3.7603 0.0000 0.0000
0.0000 3.7603 0.0000
0.0000 0.0000 4.2743
H Rh Tc Al
1 1 2 1
Direct
0.0000 0.0000 0.0000
0.0000 0.0000 0.5000
0.0000 0.5000 0.0000
0.5000 0.0000 0.0000
0.5000 0.5000 0.5000
```